[1]
This record from Alexandria describes a geometry-optimized K2MnP2S6 structure. The functional is GGA-PBE.

Unit cell a=6.182 b=12.483 c=8.793 alpha=90.00 beta=120.87 gamma=90.00
Space group P2_1/c (No. 14)
Symmetry-distinct sites (fractional):
K (0.166, 0.189, 0.463) (multiplicity 4)
Mn (0.500, 0.000, 0.000) (multiplicity 2)
P (0.150, 0.525, 0.637) (multiplicity 4)
S (0.051, 0.049, 0.742) (multiplicity 4)
S (0.313, 0.657, 0.602) (multiplicity 4)
S (0.406, 0.096, 0.230) (multiplicity 4)

Calculated values
* E_form (uncorrected): -7.826 eV/f.u.
* energy above the most stable polymorph in this dataset: 0.000 eV/atom
* spin magnetization: 10.000 μB/cell



[2]
This record from Alexandria describes a geometry-optimized KMnPS2 structure. The functional is GGA-PBE.

Unit cell a=5.349 b=5.349 c=5.183 alpha=90.00 beta=90.00 gamma=90.00
Space group P4/mmm (No. 123)
Symmetry-distinct sites (fractional):
K (0.000, 0.000, 0.000) (multiplicity 1)
Mn (0.500, 0.500, 0.500) (multiplicity 1)
P (0.000, 0.000, 0.500) (multiplicity 1)
S (0.000, 0.500, 0.000) (multiplicity 2)

Calculated values
* E_form (uncorrected): 7.816 eV/f.u.
* energy above the most stable polymorph in this dataset: 1.762 eV/atom
* spin magnetization: 3.518 μB/cell



[3]
This record from Alexandria describes a geometry-optimized KMnP2S structure. The functional is GGA-PBE.

Unit cell a=5.222 b=5.222 c=5.278 alpha=90.00 beta=90.00 gamma=90.00
Space group P4/mmm (No. 123)
Symmetry-distinct sites (fractional):
K (0.000, 0.000, 0.000) (multiplicity 1)
Mn (0.500, 0.500, 0.500) (multiplicity 1)
P (0.000, 0.500, 0.000) (multiplicity 2)
S (0.000, 0.000, 0.500) (multiplicity 1)

Calculated values
* E_form (uncorrected): 9.135 eV/f.u.
* energy above the most stable polymorph in this dataset: 1.793 eV/atom
* spin magnetization: 3.903 μB/cell



[4]
This record from Alexandria describes a geometry-optimized K2MnPSe4 structure. The functional is GGA-PBE.

Unit cell a=6.409 b=13.322 c=24.023 alpha=90.00 beta=90.00 gamma=90.00
Space group Fddd (No. 70, origin choice 2)
Symmetry-distinct sites (fractional):
K (0.125, 0.125, 0.307) (multiplicity 16)
Mn (0.125, 0.125, 0.125) (multiplicity 8)
P (0.125, 0.125, 0.625) (multiplicity 8)
Se (0.107, 0.276, 0.824) (multiplicity 32)

Calculated values
* E_form (uncorrected): -4.691 eV/f.u.
* spin magnetization: 32.027 μB/cell



[5]
This record from Alexandria describes a geometry-optimized KMnP2Se8 structure. The functional is GGA-PBE.

Unit cell a=6.0578 b=6.0578 c=31.2012 alpha=90.00 beta=90.00 gamma=120.00
Space group R-3 (No. 148, hexagonal axes)
Symmetry-distinct sites (fractional):
K (0.0000, 0.0000, 0.0000) (multiplicity 3)
Mn (0.0000, 0.0000, 0.5000) (multiplicity 3)
P (0.0000, 0.0000, 0.2355) (multiplicity 6)
Se (0.0000, 0.0000, 0.3046) (multiplicity 6)
Se (0.0042, 0.6392, 0.7860) (multiplicity 18)

Calculated values
* E_form (uncorrected): -2.827 eV/f.u.
* spin magnetization: 6.557 μB/cell



[6]
This record from Alexandria describes a geometry-optimized K2MnP2Se6 structure. The functional is GGA-PBE.

Unit cell a=6.527 b=13.045 c=9.045 alpha=90.00 beta=122.21 gamma=90.00
Space group P2_1/c (No. 14)
Symmetry-distinct sites (fractional):
K (0.150, 0.198, 0.440) (multiplicity 4)
Mn (0.500, 0.000, 0.000) (multiplicity 2)
P (0.150, 0.524, 0.637) (multiplicity 4)
Se (0.048, 0.046, 0.730) (multiplicity 4)
Se (0.319, 0.661, 0.601) (multiplicity 4)
Se (0.418, 0.102, 0.233) (multiplicity 4)

Calculated values
* E_form (uncorrected): -6.281 eV/f.u.
* spin magnetization: 10.000 μB/cell



[7]
This record from Alexandria describes a geometry-optimized KMnSn2P structure. The functional is GGA-PBE.

Unit cell a=5.051 b=5.051 c=5.803 alpha=90.00 beta=90.00 gamma=90.00
Space group P4/mmm (No. 123)
Symmetry-distinct sites (fractional):
K (0.000, 0.000, 0.000) (multiplicity 1)
Mn (0.000, 0.000, 0.500) (multiplicity 1)
Sn (0.000, 0.500, 0.500) (multiplicity 2)
P (0.500, 0.500, 0.000) (multiplicity 1)

Calculated values
* DFT formation energy: 0.587 eV/atom
* spin magnetization: 3.116 μB/cell



[8]
This record from Alexandria describes a geometry-optimized KTi2MnP structure. The functional is GGA-PBE.

Unit cell a=4.696 b=4.696 c=4.423 alpha=90.00 beta=90.00 gamma=90.00
Space group P4/mmm (No. 123)
Symmetry-distinct sites (fractional):
K (0.000, 0.000, 0.000) (multiplicity 1)
Ti (0.000, 0.500, 0.500) (multiplicity 2)
Mn (0.500, 0.500, 0.500) (multiplicity 1)
P (0.500, 0.500, 0.000) (multiplicity 1)

Calculated values
* DFT formation energy: 0.406 eV/atom
* spin magnetization: 1.439 μB/cell



[9]
This record from Alexandria describes a geometry-optimized KY2MnP structure. The functional is GGA-PBE.

Unit cell a=5.307 b=5.307 c=5.189 alpha=90.00 beta=90.00 gamma=90.00
Space group P4/mmm (No. 123)
Symmetry-distinct sites (fractional):
K (0.000, 0.000, 0.000) (multiplicity 1)
Y (0.000, 0.500, 0.000) (multiplicity 2)
Mn (0.500, 0.500, 0.500) (multiplicity 1)
P (0.000, 0.000, 0.500) (multiplicity 1)

Calculated values
* DFT formation energy: 1.473 eV/atom
* spin magnetization: 3.632 μB/cell



[10]
This record from Alexandria describes a geometry-optimized K2MnZnP structure. The functional is GGA-PBE.

Unit cell a=6.404 b=6.404 c=4.490 alpha=90.00 beta=90.00 gamma=90.00
Space group P4/mmm (No. 123)
Symmetry-distinct sites (fractional):
K (0.000, 0.500, 0.000) (multiplicity 2)
Mn (0.000, 0.000, 0.500) (multiplicity 1)
Zn (0.500, 0.500, 0.500) (multiplicity 1)
P (0.000, 0.000, 0.000) (multiplicity 1)

Calculated values
* DFT formation energy: 0.129 eV/atom
* spin magnetization: 3.903 μB/cell



[11]
This record from Alexandria describes a geometry-optimized KMnZnP structure. The functional is GGA-PBE.

Unit cell a=3.759 b=3.759 c=12.832 alpha=90.00 beta=90.00 gamma=90.00
Space group P4/nmm (No. 129, origin choice 2)
Symmetry-distinct sites (fractional):
K (0.250, 0.250, 0.248) (multiplicity 2)
Mn (0.250, 0.750, 0.500) (multiplicity 2)
Zn (0.250, 0.750, 0.000) (multiplicity 2)
P (0.250, 0.250, 0.600) (multiplicity 2)

Calculated values
* DFT formation energy: -0.278 eV/atom
* spin magnetization: 3.423 μB/cell



[12]
This record from Alexandria describes a geometry-optimized K3PaMn2S6 structure. The functional is GGA-PBE.

Unit cell a=6.719 b=11.644 c=7.675 alpha=90.00 beta=106.91 gamma=90.00
Space group C2/m (No. 12)
Symmetry-distinct sites (fractional):
K (0.000, 0.000, 0.000) (multiplicity 2)
K (0.000, 0.331, 0.000) (multiplicity 4)
Pa (0.000, 0.500, 0.500) (multiplicity 2)
Mn (0.000, 0.166, 0.500) (multiplicity 4)
S (0.229, 0.000, 0.695) (multiplicity 4)
S (0.233, 0.332, 0.694) (multiplicity 8)

Calculated values
* E_form (uncorrected): -14.026 eV/f.u.
* spin magnetization: 20.000 μB/cell



[13]
This record from Alexandria describes a geometry-optimized KPaMnS4 structure. The functional is GGA-PBE.

Unit cell a=7.949 b=8.560 c=11.047 alpha=90.00 beta=90.00 gamma=90.00
Space group Imma (No. 74)
Symmetry-distinct sites (fractional):
K (0.000, 0.250, 0.162) (multiplicity 4)
Pa (0.000, 0.000, 0.500) (multiplicity 4)
Mn (0.250, 0.250, 0.750) (multiplicity 4)
S (0.000, 0.062, 0.733) (multiplicity 8)
S (0.207, 0.250, 0.500) (multiplicity 8)

Calculated values
* E_form (uncorrected): -8.259 eV/f.u.
* spin magnetization: 20.000 μB/cell



[14]
This record from Alexandria describes a geometry-optimized KPaMn4S8 structure. The functional is GGA-PBE.

Unit cell a=7.5485 b=7.5485 c=19.3515 alpha=90.00 beta=90.00 gamma=120.00
Space group R3m (No. 160, hexagonal axes)
Symmetry-distinct sites (fractional):
K (0.0000, 0.0000, 0.0000) (multiplicity 3)
Pa (0.0000, 0.0000, 0.6441) (multiplicity 3)
Mn (0.0000, 0.0000, 0.2767) (multiplicity 3)
Mn (0.1694, 0.3389, 0.4727) (multiplicity 9)
S (0.0000, 0.0000, 0.4083) (multiplicity 3)
S (0.0000, 0.0000, 0.8606) (multiplicity 3)
S (0.0363, 0.5182, 0.4032) (multiplicity 9)
S (0.1710, 0.3420, 0.2233) (multiplicity 9)

Calculated values
* E_form (uncorrected): -10.666 eV/f.u.
* spin magnetization: 54.006 μB/cell



[15]
This record from Alexandria describes a geometry-optimized K2PaMnS6 structure. The functional is GGA-PBE.

Unit cell a=9.841 b=9.841 c=9.841 alpha=90.00 beta=90.00 gamma=90.00
Space group Fm-3m (No. 225)
Symmetry-distinct sites (fractional):
K (0.250, 0.250, 0.250) (multiplicity 8)
Pa (0.000, 0.000, 0.000) (multiplicity 4)
Mn (0.000, 0.000, 0.500) (multiplicity 4)
S (0.000, 0.000, 0.264) (multiplicity 24)

Calculated values
* E_form (uncorrected): -10.074 eV/f.u.
* spin magnetization: 13.017 μB/cell



[16]
This record from Alexandria describes a geometry-optimized K2Pa2MnS6 structure. The functional is GGA-PBE.

Unit cell a=6.555 b=11.016 c=8.037 alpha=90.00 beta=105.84 gamma=90.00
Space group C2/m (No. 12)
Symmetry-distinct sites (fractional):
K (0.000, 0.176, 0.000) (multiplicity 4)
Pa (0.000, 0.338, 0.500) (multiplicity 4)
Mn (0.000, 0.000, 0.500) (multiplicity 2)
S (0.217, 0.152, 0.690) (multiplicity 8)
S (0.228, 0.000, 0.303) (multiplicity 4)

Calculated values
* E_form (uncorrected): -13.876 eV/f.u.
* spin magnetization: 2.260 μB/cell



[17]
This record from Alexandria describes a geometry-optimized K2PaMn2S6 structure. The functional is GGA-PBE.

Unit cell a=7.2207 b=7.2207 c=18.9881 alpha=90.00 beta=90.00 gamma=120.00
Space group R-3m (No. 166, hexagonal axes)
Symmetry-distinct sites (fractional):
K (0.0000, 0.0000, 0.2366) (multiplicity 6)
Pa (0.0000, 0.0000, 0.0000) (multiplicity 3)
Mn (0.0000, 0.0000, 0.4477) (multiplicity 6)
S (0.0023, 0.5011, 0.2512) (multiplicity 18)

Calculated values
* E_form (uncorrected): -10.412 eV/f.u.
* spin magnetization: 9.082 μB/cell



[18]
This record from Alexandria describes a geometry-optimized K2Pa2MnSe6 structure. The functional is GGA-PBE.

Unit cell a=7.073 b=12.230 c=8.261 alpha=90.00 beta=106.25 gamma=90.00
Space group C2/m (No. 12)
Symmetry-distinct sites (fractional):
K (0.000, 0.166, 0.000) (multiplicity 4)
Pa (0.000, 0.335, 0.500) (multiplicity 4)
Mn (0.000, 0.000, 0.500) (multiplicity 2)
Se (0.230, 0.165, 0.699) (multiplicity 8)
Se (0.243, 0.500, 0.699) (multiplicity 4)

Calculated values
* E_form (uncorrected): -13.245 eV/f.u.
* spin magnetization: 5.989 μB/cell



[19]
This record from Alexandria describes a geometry-optimized K2PaMnSe5 structure. The functional is GGA-PBE.

Unit cell a=4.248 b=19.786 c=13.831 alpha=90.00 beta=90.00 gamma=90.00
Space group Cmc2_1 (No. 36)
Symmetry-distinct sites (fractional):
K (0.000, 0.119, 0.000) (multiplicity 4)
K (0.000, 0.121, 0.350) (multiplicity 4)
Pa (0.000, 0.205, 0.689) (multiplicity 4)
Mn (0.000, 0.428, 0.081) (multiplicity 4)
Se (0.000, 0.060, 0.668) (multiplicity 4)
Se (0.000, 0.303, 0.050) (multiplicity 4)
Se (0.000, 0.304, 0.320) (multiplicity 4)
Se (0.000, 0.338, 0.676) (multiplicity 4)
Se (0.000, 0.494, 0.946) (multiplicity 4)

Calculated values
* E_form (uncorrected): -9.645 eV/f.u.
* spin magnetization: 16.000 μB/cell



[20]
This record from Alexandria describes a geometry-optimized K4Pa3MnTe8 structure. The functional is GGA-PBE.

Unit cell a=8.8362 b=8.8362 c=25.0682 alpha=90.00 beta=90.00 gamma=120.00
Space group R-3m (No. 166, hexagonal axes)
Symmetry-distinct sites (fractional):
K (0.0000, 0.0000, 0.0000) (multiplicity 3)
K (0.0000, 0.5000, 0.0000) (multiplicity 9)
Pa (0.0000, 0.5000, 0.5000) (multiplicity 9)
Mn (0.0000, 0.0000, 0.5000) (multiplicity 3)
Te (0.0000, 0.0000, 0.2391) (multiplicity 6)
Te (0.0132, 0.5066, 0.2352) (multiplicity 18)

Calculated values
* E_form (uncorrected): -13.440 eV/f.u.
* spin magnetization: 29.756 μB/cell